(1)
{
  "formula": "CeNd3Ho6Er2",
  "functional": "PBE",
  "state": "optimized geometry",
  "mass_density_g_cm3": 8.228,
  "e_form_mev_per_atom": 35,
  "cell": [[-3.860, -3.880, -2.859], [4.159, -2.181, 4.010], [-7.748, 3.276, 8.234]],
  "species": ["Ce", "Nd", "Nd", "Nd", "Ho", "Ho", "Ho", "Ho", "Ho", "Ho", "Er", "Er"],
  "fractional_positions": [[0.000, 0.000, 0.000], [0.168, 0.832, 0.500], [0.832, 0.168, 0.500], [0.500, 0.500, 0.500], [0.918, 0.587, 0.754], [0.751, 0.751, 0.246], [0.082, 0.413, 0.246], [0.587, 0.918, 0.754], [0.249, 0.249, 0.754], [0.413, 0.082, 0.246], [0.333, 0.667, 0.000], [0.667, 0.333, 0.000]]
}

=====

(2)
{
  "formula": "CeNdHo3Er",
  "functional": "PBE",
  "state": "optimized geometry",
  "mass_density_g_cm3": 8.207,
  "e_form_mev_per_atom": 150,
  "cell": [[-1.111, 5.455, 1.762], [-3.984, -2.588, -4.178], [-6.502, -4.157, 8.774]],
  "species": ["Ce", "Ce", "Nd", "Nd", "Ho", "Ho", "Ho", "Ho", "Ho", "Ho", "Er", "Er"],
  "fractional_positions": [[0.499, 0.999, 0.750], [0.501, 0.001, 0.250], [0.000, 0.000, 0.500], [0.000, 0.000, 0.000], [0.671, 0.342, 0.501], [0.329, 0.658, 0.499], [0.329, 0.658, 0.001], [0.671, 0.342, 0.999], [0.173, 0.347, 0.750], [0.827, 0.653, 0.250], [0.828, 0.657, 0.750], [0.172, 0.343, 0.250]]
}

=====

(3)
{
  "formula": "CeNd2Ho2Er2",
  "functional": "PBE",
  "state": "optimized geometry",
  "mass_density_g_cm3": 7.953,
  "e_form_mev_per_atom": 167,
  "cell": [[-0.062, -0.711, -3.392], [0.216, -8.277, 3.503], [-7.536, 3.367, -0.569]],
  "species": ["Ce", "Nd", "Nd", "Ho", "Ho", "Er", "Er"],
  "fractional_positions": [[0.000, 0.000, 0.500], [0.789, 0.579, 0.213], [0.211, 0.421, 0.787], [0.431, 0.861, 0.096], [0.569, 0.139, 0.904], [0.643, 0.286, 0.381], [0.357, 0.714, 0.619]]
}

=====

(4)
{
  "formula": "CeHo2ErP4",
  "functional": "PBE",
  "state": "optimized geometry",
  "mass_density_g_cm3": 6.963,
  "e_form_mev_per_atom": -1586,
  "cell": [[4.007, 0.000, 0.000], [0.000, 6.928, 0.123], [0.000, -2.420, 6.496]],
  "species": ["Ce", "Ho", "Ho", "Er", "P", "P", "P", "P"],
  "fractional_positions": [[0.500, 0.500, 0.000], [0.500, 0.000, 0.500], [0.000, 0.500, 0.500], [0.000, 0.000, 0.000], [0.500, 0.249, 0.250], [0.500, 0.751, 0.750], [0.000, 0.247, 0.748], [0.000, 0.753, 0.252]]
}

=====

(5)
{
  "formula": "CeHoEr2P4",
  "functional": "PBE",
  "state": "optimized geometry",
  "mass_density_g_cm3": 7.008,
  "e_form_mev_per_atom": -1586,
  "cell": [[-3.493, -1.911, 0.410], [3.020, -4.624, 4.176], [-2.437, 5.263, 3.776]],
  "species": ["Ce", "Ho", "Er", "Er", "P", "P", "P", "P"],
  "fractional_positions": [[0.500, 0.500, 0.000], [0.000, 0.000, 0.000], [0.500, 0.000, 0.500], [0.000, 0.500, 0.500], [0.500, 0.250, 0.252], [0.500, 0.750, 0.748], [0.000, 0.247, 0.746], [0.000, 0.753, 0.254]]
}

=====

(6)
{
  "formula": "Ce2HoErP4",
  "functional": "PBE",
  "state": "optimized geometry",
  "mass_density_g_cm3": 6.601,
  "e_form_mev_per_atom": -1557,
  "cell": [[4.035, 0.000, 0.000], [0.000, 6.988, 0.121], [0.000, -2.443, 6.527]],
  "species": ["Ce", "Ce", "Ho", "Er", "P", "P", "P", "P"],
  "fractional_positions": [[0.500, 0.000, 0.500], [0.000, 0.500, 0.500], [0.000, 0.000, 0.000], [0.500, 0.500, 0.000], [0.500, 0.249, 0.245], [0.500, 0.751, 0.755], [0.000, 0.252, 0.755], [0.000, 0.748, 0.245]]
}

=====

(7)
{
  "formula": "Ce3Ho4ErP8",
  "functional": "PBE",
  "state": "optimized geometry",
  "mass_density_g_cm3": 6.759,
  "e_form_mev_per_atom": -1572,
  "cell": [[-0.942, -7.219, -3.418], [6.867, -2.484, 3.353], [-5.844, 3.067, 4.596]],
  "species": ["Ce", "Ce", "Ce", "Ho", "Ho", "Ho", "Ho", "Er", "P", "P", "P", "P", "P", "P", "P", "P"],
  "fractional_positions": [[0.500, 0.500, 0.000], [0.500, 0.500, 0.500], [0.000, 0.500, 0.500], [0.500, 0.000, 0.000], [0.500, 0.000, 0.500], [0.000, 0.000, 0.000], [0.000, 0.000, 0.500], [0.000, 0.500, 0.000], [0.250, 0.752, 0.002], [0.250, 0.752, 0.499], [0.248, 0.245, 0.497], [0.753, 0.752, 0.002], [0.247, 0.248, 0.998], [0.752, 0.755, 0.503], [0.750, 0.248, 0.501], [0.750, 0.248, 0.998]]
}

=====

(8)
{
  "formula": "Ce3HoEr2P6",
  "functional": "PBE",
  "state": "optimized geometry",
  "mass_density_g_cm3": 6.614,
  "e_form_mev_per_atom": -1556,
  "cell": [[6.987, -0.001, 0.000], [-3.493, 6.051, 0.000], [-1.165, -2.018, 6.565]],
  "species": ["Ce", "Ce", "Ce", "Ho", "Er", "Er", "P", "P", "P", "P", "P", "P"],
  "fractional_positions": [[0.167, 0.833, 0.500], [0.833, 0.167, 0.500], [0.500, 0.500, 0.500], [0.000, 0.000, 0.000], [0.333, 0.667, 0.000], [0.667, 0.333, 0.000], [0.918, 0.584, 0.755], [0.748, 0.748, 0.245], [0.082, 0.416, 0.245], [0.584, 0.918, 0.755], [0.252, 0.252, 0.755], [0.416, 0.082, 0.245]]
}

=====

(9)
{
  "formula": "CeHo3Er2P6",
  "functional": "PBE",
  "state": "optimized geometry",
  "mass_density_g_cm3": 7.098,
  "e_form_mev_per_atom": -1599,
  "cell": [[6.915, 0.000, 0.000], [-3.456, 5.990, 0.000], [-1.154, -1.997, 6.525]],
  "species": ["Ce", "Ho", "Ho", "Ho", "Er", "Er", "P", "P", "P", "P", "P", "P"],
  "fractional_positions": [[0.000, 0.000, 0.000], [0.166, 0.834, 0.500], [0.834, 0.166, 0.500], [0.500, 0.500, 0.500], [0.333, 0.667, 0.000], [0.667, 0.333, 0.000], [0.917, 0.582, 0.750], [0.749, 0.749, 0.249], [0.083, 0.418, 0.250], [0.582, 0.917, 0.750], [0.251, 0.251, 0.751], [0.418, 0.083, 0.250]]
}

=====

(10)
{
  "formula": "Ce3Ho2ErP6",
  "functional": "PBE",
  "state": "optimized geometry",
  "mass_density_g_cm3": 6.585,
  "e_form_mev_per_atom": -1557,
  "cell": [[6.992, -0.001, 0.000], [-3.496, 6.056, 0.000], [-1.166, -2.019, 6.571]],
  "species": ["Ce", "Ce", "Ce", "Ho", "Ho", "Er", "P", "P", "P", "P", "P", "P"],
  "fractional_positions": [[0.167, 0.833, 0.500], [0.833, 0.167, 0.500], [0.500, 0.500, 0.500], [0.333, 0.667, 0.000], [0.667, 0.333, 0.000], [0.000, 0.000, 0.000], [0.918, 0.586, 0.755], [0.749, 0.749, 0.245], [0.082, 0.414, 0.245], [0.586, 0.918, 0.755], [0.251, 0.251, 0.755], [0.414, 0.082, 0.245]]
}

=====

(11)
{
  "formula": "CeHoErPa",
  "functional": "PBE",
  "state": "optimized geometry",
  "mass_density_g_cm3": 9.904,
  "e_form_mev_per_atom": 361,
  "cell": [[5.504, 0.000, 0.000], [2.752, 4.767, 0.000], [2.752, 1.589, 4.494]],
  "species": ["Pa", "Ho", "Ce", "Er"],
  "fractional_positions": [[0.750, 0.750, 0.750], [0.250, 0.250, 0.250], [0.000, 0.000, 0.000], [0.500, 0.500, 0.500]]
}

=====

(12)
{
  "formula": "CeHoErPb",
  "functional": "PBE",
  "state": "optimized geometry",
  "mass_density_g_cm3": 10.050,
  "e_form_mev_per_atom": -36,
  "cell": [[-4.275, 1.792, 2.800], [-1.946, -2.912, 4.130], [0.635, 1.752, 5.085]],
  "species": ["Pb", "Ho", "Ce", "Er"],
  "fractional_positions": [[0.250, 0.250, 0.250], [0.000, 0.000, 0.000], [0.750, 0.750, 0.750], [0.500, 0.500, 0.500]]
}